[1]
## CaVIr2 (PBE)

Data for a geometry-optimized CaVIr2 structure.

Summary:
Relative energy among the computed polymorphs ... 422 meV per atom
E ... -7.14 eV/atom
Calculated volume ... 18.64 Å³ per atom

Lattice parameters (Å, degrees): 7.210 7.210 5.850 51.96 51.96 90.00
Atoms (fractional coordinates):
1 Ca 0.500 0.500 0.000
2 Ca 0.250 0.750 0.500
3 Ir 0.683 0.125 0.250
4 Ir 0.067 0.625 0.250
5 Ir 0.375 0.317 0.750
6 Ir 0.875 0.933 0.750
7 V 0.000 0.000 0.000
8 V 0.750 0.250 0.500

***

[2]
## CaVIr2 (PBE)

Data for a geometry-optimized CaVIr2 structure.

Summary:
Relative energy among the computed polymorphs ... 0 meV per atom
E ... -7.56 eV/atom
Calculated volume ... 16.89 Å³ per atom

Lattice parameters (Å, degrees): 3.011 3.011 7.451 90.00 90.00 90.00
Last column: magnetic moment on the atom in μB.
Atoms (fractional coordinates):
1 Ca 0.500 0.500 0.500  0.02
2 Ir 0.000 0.000 0.801  0.04
3 Ir 0.000 0.000 0.199  0.04
4 V 0.500 0.500 0.000  0.44

***

[3]
## Ca3VIr (PBE)

Data for a geometry-optimized Ca3VIr structure.

Summary:
Relative energy among the computed polymorphs ... 841 meV per atom
E ... -3.56 eV/atom
Calculated volume ... 31.22 Å³ per atom

Lattice parameters (Å, degrees): 5.385 5.385 5.385 90.00 90.00 90.00
Last column: magnetic moment on the atom in μB.
Atoms (fractional coordinates):
1 Ca 0.000 0.500 0.000  0.16
2 Ca 0.000 0.000 0.500  0.16
3 Ca 0.500 0.000 0.000  0.16
4 Ir 0.500 0.500 0.500  0.57
5 V 0.000 0.000 0.000  3.31

***

[4]
## CaVIr2 (PBE)

Data for a geometry-optimized CaVIr2 structure.

Summary:
Relative energy among the computed polymorphs ... 335 meV per atom
E ... -7.22 eV/atom
Calculated volume ... 16.38 Å³ per atom

Lattice parameters (Å, degrees): 4.525 4.525 4.525 60.00 60.00 60.00
Last column: magnetic moment on the atom in μB.
Atoms (fractional coordinates):
1 Ca 0.000 0.000 0.000  -0.01
2 Ir 0.250 0.250 0.250  0.03
3 Ir 0.750 0.750 0.750  0.03
4 V 0.500 0.500 0.500  0.94

***

[5]
## CaV3Ir (PBE)

Data for a geometry-optimized CaV3Ir structure.

Summary:
Relative energy among the computed polymorphs ... 1465 meV per atom
E ... -5.54 eV/atom
Calculated volume ... 15.50 Å³ per atom

Lattice parameters (Å, degrees): 4.263 4.263 4.263 90.00 90.00 90.00
Atoms (fractional coordinates):
1 Ca 0.000 0.000 0.000
2 Ir 0.500 0.500 0.500
3 V 0.000 0.500 0.000
4 V 0.000 0.000 0.500
5 V 0.500 0.000 0.000

***

[6]
## CaV2Ir2 (PBE)

Data for a geometry-optimized CaV2Ir2 structure.

Summary:
Relative energy among the computed polymorphs ... 134 meV per atom
E ... -7.87 eV/atom
Calculated volume ... 16.26 Å³ per atom

Lattice parameters (Å, degrees): 7.666 7.666 2.767 90.00 90.00 90.00
Atoms (fractional coordinates):
1 Ca 0.000 0.000 0.000
2 Ca 0.500 0.500 0.000
3 Ir 0.147 0.647 0.500
4 Ir 0.647 0.853 0.500
5 Ir 0.853 0.353 0.500
6 Ir 0.353 0.147 0.500
7 V 0.357 0.857 0.000
8 V 0.857 0.643 0.000
9 V 0.643 0.143 0.000
10 V 0.143 0.357 0.000

***

[7]
## CaVIr3 (PBE)

Data for a geometry-optimized CaVIr3 structure.

Summary:
Relative energy among the computed polymorphs ... 0 meV per atom
E ... -7.15 eV/atom
Calculated volume ... 19.51 Å³ per atom

Lattice parameters (Å, degrees): 4.603 4.603 4.603 90.00 90.00 90.00
Atoms (fractional coordinates):
1 Ca 0.500 0.500 0.500
2 Ir 0.000 0.500 0.000
3 Ir 0.000 0.000 0.500
4 Ir 0.500 0.000 0.000
5 V 0.000 0.000 0.000

***

[8]
## Ca3VIr (PBE)

Data for a geometry-optimized Ca3VIr structure.

Summary:
Relative energy among the computed polymorphs ... 0 meV per atom
E ... -4.40 eV/atom
Calculated volume ... 32.55 Å³ per atom

Lattice parameters (Å, degrees): 5.460 5.460 5.460 90.00 90.00 90.00
Last column: magnetic moment on the atom in μB.
Atoms (fractional coordinates):
1 Ca 0.000 0.500 0.000  0.03
2 Ca 0.000 0.000 0.500  0.03
3 Ca 0.500 0.000 0.000  0.03
4 Ir 0.000 0.000 0.000  0.09
5 V 0.500 0.500 0.500  3.13

***

[9]
## Ca2VIr (PBE)

Data for a geometry-optimized Ca2VIr structure.

Summary:
Relative energy among the computed polymorphs ... 10 meV per atom
E ... -5.19 eV/atom
Calculated volume ... 21.94 Å³ per atom

Lattice parameters (Å, degrees): 4.988 4.988 4.988 60.00 60.00 60.00
Last column: magnetic moment on the atom in μB.
Atoms (fractional coordinates):
1 Ca 0.250 0.250 0.250  0.09
2 Ca 0.750 0.750 0.750  0.09
3 Ir 0.500 0.500 0.500  -0.09
4 V 0.000 0.000 0.000  2.97

***

[10]
## CaV2Ir2 (PBE)

Data for a geometry-optimized CaV2Ir2 structure.

Summary:
Relative energy among the computed polymorphs ... 195 meV per atom
E ... -7.81 eV/atom
Calculated volume ... 16.54 Å³ per atom

Lattice parameters (Å, degrees): 7.693 7.693 2.794 90.00 90.00 90.00
Atoms (fractional coordinates):
1 Ca 0.000 0.000 0.000
2 Ca 0.500 0.500 0.000
3 Ir 0.361 0.861 0.000
4 Ir 0.861 0.639 0.000
5 Ir 0.639 0.139 0.000
6 Ir 0.139 0.361 0.000
7 V 0.149 0.649 0.500
8 V 0.649 0.851 0.500
9 V 0.851 0.351 0.500
10 V 0.351 0.149 0.500